(1)
# Pr2Ni4As3Pt | the Alexandria database | PBE | relaxed
data_Pr2Ni4As3Pt
_space_group_name_H-M_alt 'P -4 m 2'
_space_group_IT_number 115
_cell_length_a 4.168
_cell_length_b 4.168
_cell_length_c 9.848
_cell_angle_alpha 90.00
_cell_angle_beta 90.00
_cell_angle_gamma 90.00
loop_
_space_group_symop_operation_xyz
'x,y,z'
'y,-x,-z'
'-x,-y,z'
'-y,x,-z'
'-x,y,z'
'-y,-x,-z'
'x,-y,z'
'y,x,-z'
loop_
_atom_site_label
_atom_site_type_symbol
_atom_site_fract_x
_atom_site_fract_y
_atom_site_fract_z
Pr1 Pr 0.000 0.500 0.248
Ni1 Ni 0.000 0.000 0.000
Ni2 Ni 0.000 0.500 0.636
Ni3 Ni 0.500 0.500 0.000
As1 As 0.000 0.500 0.874
As2 As 0.500 0.500 0.500
Pt1 Pt 0.000 0.000 0.500
# Energy of formation from the pure elements = -747.5 meV per atom
# Magnetization = 0.00 μB/f.u.

=====

(2)
# CrNiAs2Se | the Alexandria database | PBE | relaxed
data_CrNiAs2Se
_space_group_name_H-M_alt 'P 4/m m m'
_space_group_IT_number 123
_space_group_name_Hall '-P 4 2'
_cell_length_a 4.494
_cell_length_b 4.494
_cell_length_c 4.773
_cell_angle_alpha 90.00
_cell_angle_beta 90.00
_cell_angle_gamma 90.00
loop_
_atom_site_label
_atom_site_type_symbol
_atom_site_fract_x
_atom_site_fract_y
_atom_site_fract_z
Cr1 Cr 0.000 0.000 0.000
Ni1 Ni 0.500 0.500 0.500
As1 As 0.000 0.500 0.500
Se1 Se 0.500 0.500 0.000
# Formation energy (no corrections) = 0.891 eV per atom
# Magnetization = 0.23 μB/f.u.

=====

(3)
# Rb2TlGa3I6 | the Alexandria database | PBE | relaxed
data_Rb2TlGa3I6
_space_group_name_H-M_alt 'C 1 2/m 1'
_space_group_IT_number 12
_cell_length_a 21.590
_cell_length_b 4.932
_cell_length_c 9.924
_cell_angle_alpha 90.00
_cell_angle_beta 103.48
_cell_angle_gamma 90.00
loop_
_space_group_symop_operation_xyz
'x,y,z'
'-x,-y,-z'
'-x,y,-z'
'x,-y,z'
'x+1/2,y+1/2,z'
'-x+1/2,-y+1/2,-z'
'-x+1/2,y+1/2,-z'
'x+1/2,-y+1/2,z'
loop_
_atom_site_label
_atom_site_type_symbol
_atom_site_fract_x
_atom_site_fract_y
_atom_site_fract_z
Rb1 Rb 0.166 0.000 0.327
Tl1 Tl 0.000 0.500 0.000
Ga1 Ga 0.000 0.500 0.500
Ga2 Ga 0.167 0.000 0.831
I1 I 0.007 0.000 0.742
I2 I 0.159 0.500 0.595
I3 I 0.169 0.500 0.060
# Formation energy (no corrections) = -0.763 eV per atom
# Magnetization = 0.00 μB/f.u.